Material: AlPb2
Method: DFT, PBE
State: relaxed

It has space group Cmcm (No. 63), with a = 3.7161 Å, b = 16.2288 Å, c = 5.4538 Å, α = 90.00°, β = 90.00° and γ = 90.00°. The asymmetric unit holds Al at (0.0000, 0.0562, 0.2500), Pb at (0.0000, 0.2884, 0.7500) and Pb at (0.0000, 0.4125, 0.2500).

The formation energy comes out at 181 meV/atom. The calculation puts the calculated total energy at -42.46 eV/cell.